(1)
Entry from Alexandria via LeMat-Bulk: RbHo2Cl7 after structural relaxation (PBE).

SG: Pnma
Formation energy (no corrections): -2.255 eV per atom
Distance to the lowest polymorph of the same formula: 0.0 meV/atom

```
40
Lattice="-4.215 -5.171 1.974 10.005 -6.591 4.094 -1.276 5.788 12.436" Properties=species:S:1:pos:R:3 pbc="T T T"
Cl 0.779 -3.534 4.404
Cl 2.797 -1.058 3.459
Ho 1.435 0.763 11.189
Cl -3.880 -3.473 6.878
Cl 4.788 -8.550 6.215
Cl 5.502 -6.078 8.345
Cl 2.968 -4.876 11.949
Cl 5.557 -3.105 3.987
Cl 4.337 -6.439 16.667
Cl -1.861 -0.996 5.932
Cl -1.847 -2.019 2.787
Cl -0.273 2.576 12.290
Cl 6.362 -3.955 15.718
Cl 2.776 -4.066 7.772
Cl 0.751 -6.551 8.720
Ho -1.586 2.722 9.871
Cl 1.547 -1.097 6.556
Cl 1.718 -4.916 15.046
Rb 6.908 -6.371 4.190
Cl 0.977 -0.392 13.572
Ho 3.230 -2.925 5.363
Cl 1.030 2.580 9.215
Cl 8.395 -2.501 11.627
Cl -1.042 -2.869 14.518
Cl 6.376 -4.978 12.573
Rb -0.753 -3.158 8.508
Ho 4.322 -5.081 14.303
Cl 1.739 -1.908 10.733
Ho 3.080 -6.737 7.316
Ho 6.101 -8.696 8.634
Ho 0.193 -0.893 4.202
Rb -2.394 0.397 14.315
Cl 3.538 -5.582 4.933
Cl 3.484 -8.553 9.290
Rb 5.268 -2.816 9.997
Cl 0.178 0.465 1.838
Cl 3.764 0.577 9.784
Cl -0.988 0.104 10.160
Ho 1.285 -3.049 13.142
Cl 3.736 -2.440 14.101
```

=====

(2)
Entry from Alexandria via LeMat-Bulk: RbHo2Cl7 after structural relaxation (PBE).

SG: Cmmm
Formation energy (no corrections): -2.218 eV per atom
Distance to the lowest polymorph of the same formula: 37.6 meV/atom

```
10
Lattice="5.277 0.000 0.000 0.000 8.048 -0.028 0.000 -3.576 7.210" Properties=species:S:1:pos:R:3 pbc="T T T"
Cl 2.639 1.996 6.850
Cl 2.639 2.477 0.332
Cl 2.639 5.267 4.813
Cl 2.639 -0.794 2.369
Ho 2.639 4.520 2.169
Rb 0.000 0.000 0.000
Ho 2.639 -0.048 5.013
Cl 2.639 2.236 3.591
Cl 0.000 -0.134 5.067
Cl 0.000 4.606 2.115
```